KMoF3 | GGA+U | relaxed

Output
Its electronic total energy is -4.939 eV per atom. The value obtained for the total magnetization is 4.0 μB/f.u. Its density of states at the Fermi level is 0.9 states/eV/f.u. For the energy above the most stable polymorph in this dataset, the calculation gives 0.0 meV per atom.

Lattice parameters (Å, degrees): 4.5093 4.5093 4.5093 90.00 90.00 90.00
Closest atoms and distances in Å follow each position.
Element x y z (fractional)
K  0.0000  0.0000  0.0000  12 F 3.19
Mo  0.5000  0.5000  0.5000  6 F 2.25
F  0.0000  0.5000  0.5000  2 Mo 2.25
F  0.5000  0.0000  0.5000  2 Mo 2.25
F  0.5000  0.5000  0.0000  2 Mo 2.25